Here is a relaxed structure of Ag2Pd7Pt from the Alexandria database. Energies are from PBE.

Output
The value obtained for the density of states at the Fermi level is 18.185 states/eV/cell. The calculation puts the formation energy at 3.2 eV/f.u. Its magnetic moment is 0.00 μB per formula unit. The volume comes out at 18.552 Å³/atom.

POSCAR file:
```
Ag2Pd7Pt
1.0
-1.759 -0.566 1.994
6.839 -0.321 5.943
-4.643 7.536 -1.959
Ag Pd Pt
2 7 1
Cartesian
2.253 1.932 4.390 Ag
-1.817 4.717 1.589 Ag
4.847 1.042 4.573 Pd
-2.652 6.173 -0.588 Pd
-1.379 2.068 1.224 Pd
1.815 4.581 4.755 Pd
0.632 0.692 2.607 Pd
-0.196 5.957 3.371 Pd
0.218 3.325 2.989 Pd
0.000 0.000 0.000 Pt
```